[1]
Here is RbTlSb2 after structural relaxation from Alexandria via LeMat-Bulk. Energies are from PBE.

Summary:
For the relative energy among the computed polymorphs, the calculation gives 0 meV per atom. The calculation puts the uncorrected formation energy at -198 meV/atom. The calculation puts the spin magnetization at 0.00 μB/cell.

Cell lengths 5.6096, 13.7303, 7.8112 Å; angles 90.00, 90.00, 90.00 degrees
Closest atoms and distances in Å follow each position.
Space group Cmcm (No. 63)
Asymmetric unit:
Rb 0.0000 0.0847 0.2500 (multiplicity 4)  8 Sb 3.73-4.06, 3 Tl 3.95-4.05
Tl 0.0000 0.2028 0.7500 (multiplicity 4)  6 Sb 3.46-3.64
Sb 0.0000 0.3991 0.0629 (multiplicity 8)  2 Sb 2.92-2.94


[2]
Here is NaInOs2 after structural relaxation from Alexandria via LeMat-Bulk. Energies are from PBE.

Summary:
The energy relative to the elements is 1280 meV per atom. The calculation puts the spin magnetization at 0.01 μB/cell.

Cell lengths 7.9052, 7.9052, 5.0000 Å; angles 90.00, 90.00, 90.00 degrees
Closest atoms and distances in Å follow each position.
Space group I-42d (No. 122)
Asymmetric unit:
Na 0.0000 0.0000 0.0000 (multiplicity 4)  2 In 2.50
In 0.0000 0.0000 0.5000 (multiplicity 4)  2 Na 2.50, 4 Os 2.69
Os 0.2169 0.2500 0.6250 (multiplicity 8)  2 Os 2.55, 2 In 2.69


[3]
Here is ErVGe2 after structural relaxation from Alexandria via LeMat-Bulk. Energies are from PBE.

Summary:
The energy relative to the elements is 209 meV per atom. The calculation puts the spin magnetization at 0.00 μB/cell.

Cell lengths 3.0533, 3.0533, 29.6356 Å; angles 90.00, 90.00, 120.00 degrees
Closest atoms and distances in Å follow each position.
Space group R-3m (No. 166, hexagonal axes)
Asymmetric unit:
Er 0.0000 0.0000 0.0000 (multiplicity 3)  2 Ge 2.93, 6 Er 3.05
V 0.0000 0.0000 0.5000 (multiplicity 3)  6 Ge 2.67
Ge 0.0000 0.0000 0.0989 (multiplicity 6)  3 V 2.67, 1 Er 2.93


[4]
Here is Ce4ErLu after structural relaxation from Alexandria via LeMat-Bulk. Energies are from PBE.

Summary:
The energy relative to the elements is 213 meV per atom. The calculation puts the spin magnetization at 15.84 μB/cell.

Cell lengths 8.8733, 8.8733, 8.8733 Å; angles 90.00, 90.00, 90.00 degrees
Closest atoms and distances in Å follow each position.
Space group F-43m (No. 216)
Asymmetric unit:
Ce 0.1237 0.1237 0.3763 (multiplicity 16)  6 Ce 3.10-3.17
Er 0.0000 0.0000 0.0000 (multiplicity 4)  12 Ce 3.68, 4 Lu 3.84
Lu 0.2500 0.2500 0.7500 (multiplicity 4)  12 Ce 3.68, 4 Er 3.84


[5]
Here is LiAs2Cl after structural relaxation from Alexandria via LeMat-Bulk. Energies are from PBE.

Summary:
For the relative energy among the computed polymorphs, the calculation gives 593 meV per atom. The calculation puts the uncorrected formation energy at -229 meV/atom. The calculation puts the spin magnetization at 0.00 μB/cell.

Cell lengths 3.0946, 5.1047, 5.3403 Å; angles 90.00, 90.00, 90.00 degrees
Closest atoms and distances in Å follow each position.
Space group Pmmm (No. 47)
Asymmetric unit:
Li 0.0000 0.0000 0.0000 (multiplicity 1)  2 Cl 2.67
As 0.5000 0.5000 0.2160 (multiplicity 2)  1 As 2.31
Cl 0.0000 0.0000 0.5000 (multiplicity 1)  2 Li 2.67


[6]
Here is Th8NiTe4Ir3 after structural relaxation from Alexandria via LeMat-Bulk. Energies are from PBE.

Summary:
The calculation puts the uncorrected formation energy at -1037 meV/atom. The calculation puts the spin magnetization at 0.00 μB/cell.

Cell lengths 8.3842, 8.3842, 23.0465 Å; angles 90.00, 90.00, 120.00 degrees
Closest atoms and distances in Å follow each position.
Space group R-3m (No. 166, hexagonal axes)
Asymmetric unit:
Th 0.0000 0.0000 0.2347 (multiplicity 6)  3 Ir 2.88
Th 0.0011 0.5005 0.2337 (multiplicity 18)  1 Ni 2.86, 2 Ir 2.87
Ni 0.0000 0.0000 0.5000 (multiplicity 3)  6 Th 2.86
Te 0.0000 0.0000 0.0000 (multiplicity 3)  6 Th 3.34
Te 0.0000 0.5000 0.0000 (multiplicity 9)  6 Th 3.32-3.33
Ir 0.0000 0.5000 0.5000 (multiplicity 9)  6 Th 2.87-2.88


[7]
Here is NaPmS after structural relaxation from Alexandria via LeMat-Bulk. Energies are from PBE.

Summary:
The calculation puts the uncorrected formation energy at -1071 meV/atom. The calculation puts the spin magnetization at 0.00 μB/cell.

Cell lengths 5.5796, 4.3738, 7.2316 Å; angles 90.00, 110.40, 90.00 degrees
Closest atoms and distances in Å follow each position.
Space group P2_1/m (No. 11)
Asymmetric unit:
Na 0.2466 0.2500 0.0626 (multiplicity 2)  3 S 3.01-3.07
Pm 0.2898 0.2500 0.5879 (multiplicity 2)  4 S 2.78-2.85
S 0.1738 0.7500 0.3357 (multiplicity 2)  4 Pm 2.78-2.85, 3 Na 3.01-3.07


[8]
Here is VCoRh3 after structural relaxation from Alexandria via LeMat-Bulk. Energies are from PBE.

Summary:
For the relative energy among the computed polymorphs, the calculation gives 544 meV per atom. The energy relative to the elements is 316 meV per atom. The calculation puts the spin magnetization at 8.50 μB/cell.

Cell lengths 6.6102, 10.6358, 4.2795 Å; angles 90.00, 90.00, 90.00 degrees
Closest atoms and distances in Å follow each position.
Space group Cmcm (No. 63)
Asymmetric unit:
V 0.0000 0.1457 0.2500 (multiplicity 4)  8 Rh 2.59-2.81
Co 0.0000 0.5000 0.0000 (multiplicity 4)  2 Co 2.14
Rh 0.0000 0.2964 0.7500 (multiplicity 4)  2 Co 2.42, 2 Rh 2.58, 2 V 2.67
Rh 0.1994 0.0878 0.7500 (multiplicity 8)  2 Co 2.44, 2 Rh 2.58-2.64, 2 V 2.59


[9]
Here is Ca2Zn2P after structural relaxation from Alexandria via LeMat-Bulk. Energies are from PBE.

Summary:
For the relative energy among the computed polymorphs, the calculation gives 0 meV per atom. The energy relative to the elements is -474 meV per atom. The calculation puts the spin magnetization at 0.00 μB/cell.

Cell lengths 4.1943, 4.1943, 8.8018 Å; angles 90.00, 90.00, 120.00 degrees
Closest atoms and distances in Å follow each position.
Space group P-3m1 (No. 164)
Asymmetric unit:
Ca 0.3333 0.6667 0.1650 (multiplicity 2)  3 P 2.82
Zn 0.3333 0.6667 0.5509 (multiplicity 2)  3 Zn 2.58
P 0.0000 0.0000 0.0000 (multiplicity 1)  6 Ca 2.82


[10]
Here is Na2CdRh3O8 after structural relaxation from Alexandria via LeMat-Bulk. Energies are from PBE.

Summary:
The calculation puts the uncorrected formation energy at -974 meV/atom. The calculation puts the spin magnetization at 1.46 μB/cell.

Cell lengths 6.2883, 6.2883, 15.9588 Å; angles 90.00, 90.00, 120.00 degrees
Closest atoms and distances in Å follow each position.
Space group R3m (No. 160, hexagonal axes)
Asymmetric unit:
Na 0.0000 0.0000 0.0000 (multiplicity 3)  4 O 2.24-2.30
Na 0.0000 0.0000 0.3746 (multiplicity 3)  6 O 2.30-2.34
Cd 0.0000 0.0000 0.7556 (multiplicity 3)  4 O 2.19-2.32
Rh 0.0041 0.5021 0.8763 (multiplicity 9)  6 O 1.97-2.13
O 0.0000 0.0000 0.1440 (multiplicity 3)  3 Rh 2.08, 1 Na 2.30
O 0.0000 0.0000 0.6104 (multiplicity 3)  3 Rh 2.13, 1 Cd 2.32
O 0.0361 0.5180 0.1439 (multiplicity 9)  2 Rh 2.03, 1 Cd 2.19
O 0.1831 0.3663 0.9368 (multiplicity 9)  2 Rh 1.97


[11]
Here is La2NdOs after structural relaxation from Alexandria via LeMat-Bulk. Energies are from PBE.

Summary:
For the relative energy among the computed polymorphs, the calculation gives 367 meV per atom. The energy relative to the elements is 234 meV per atom. The calculation puts the spin magnetization at 0.01 μB/cell.

Cell lengths 3.9730, 3.9730, 31.8764 Å; angles 90.00, 90.00, 120.00 degrees
Closest atoms and distances in Å follow each position.
Space group R-3m (No. 166, hexagonal axes)
Asymmetric unit:
La 0.0000 0.0000 0.1154 (multiplicity 6)  3 Os 2.82
Nd 0.0000 0.0000 0.0000 (multiplicity 3)  2 La 3.68, 6 Nd 3.97
Os 0.0000 0.0000 0.5000 (multiplicity 3)  6 La 2.82


[12]
Here is ZrFeSbTe2 after structural relaxation from Alexandria via LeMat-Bulk. Energies are from PBE.

Summary:
For the relative energy among the computed polymorphs, the calculation gives 206 meV per atom. The calculation puts the uncorrected formation energy at 618 meV/atom. The calculation puts the spin magnetization at 3.97 μB/cell.

Cell lengths 5.5443, 5.5443, 5.6190 Å; angles 90.00, 90.00, 90.00 degrees
Closest atoms and distances in Å follow each position.
Space group P4/mmm (No. 123)
Asymmetric unit:
Zr 0.0000 0.0000 0.0000 (multiplicity 1)  4 Te 2.77, 2 Sb 2.81
Fe 0.5000 0.5000 0.5000 (multiplicity 1)  4 Sb 3.92, 8 Te 3.95
Sb 0.0000 0.0000 0.5000 (multiplicity 1)  2 Zr 2.81
Te 0.0000 0.5000 0.0000 (multiplicity 2)  2 Zr 2.77